Entry 1:
# SrAgBi (PBE, optimized geometry)
data_SrAgBi
_chemical_formula_sum 'Sr4 Ag4 Bi4'
_cell_length_a 8.604
_cell_length_b 4.972
_cell_length_c 9.323
_cell_angle_alpha 90.00
_cell_angle_beta 107.95
_cell_angle_gamma 90.00
_space_group_name_H-M_alt 'C 1 m 1'
_space_group_IT_number 8
loop_
_space_group_symop_operation_xyz
'x,y,z'
'x,-y,z'
'x+1/2,y+1/2,z'
'x+1/2,-y+1/2,z'
loop_
_atom_site_label
_atom_site_type_symbol
_atom_site_fract_x
_atom_site_fract_y
_atom_site_fract_z
Sr1 Sr 0.000 0.000 0.000
Sr2 Sr 0.166 0.000 0.495
Ag1 Ag 0.382 0.500 0.645
Ag2 Ag 0.413 0.000 0.237
Bi1 Bi 0.082 0.500 0.746
Bi2 Bi 0.255 0.500 0.264
# **Magnetic moment**: 0.0 μB/f.u.
# **Energy relative to the elements**: -0.54 eV per atom

Entry 2:
# SrAgBi2 (PBE, optimized geometry)
data_SrAgBi2
_chemical_formula_sum 'Sr4 Ag4 Bi8'
_cell_length_a 7.825
_cell_length_b 7.825
_cell_length_c 7.825
_cell_angle_alpha 90.00
_cell_angle_beta 90.00
_cell_angle_gamma 90.00
_space_group_name_H-M_alt 'F m -3 m'
_space_group_IT_number 225
_space_group_name_Hall '-F 4 2 3'
loop_
_atom_site_label
_atom_site_type_symbol
_atom_site_fract_x
_atom_site_fract_y
_atom_site_fract_z
Sr1 Sr 0.000 0.000 0.000
Ag1 Ag 0.000 0.000 0.500
Bi1 Bi 0.250 0.250 0.250
# **Magnetic moment**: 0.0 μB/f.u.
# **Energy relative to the elements**: -0.21 eV per atom

Entry 3:
# SrAg9Bi2 (PBE, optimized geometry)
data_SrAg9Bi2
_chemical_formula_sum 'Sr3 Ag27 Bi6'
_cell_length_a 5.7696
_cell_length_b 5.7696
_cell_length_c 27.6155
_cell_angle_alpha 90.00
_cell_angle_beta 90.00
_cell_angle_gamma 120.00
_space_group_name_H-M_alt 'R -3 m'
_space_group_IT_number 166
_space_group_name_Hall '-R 3 2"'
loop_
_atom_site_label
_atom_site_type_symbol
_atom_site_fract_x
_atom_site_fract_y
_atom_site_fract_z
Sr1 Sr 0.0000 0.0000 0.0000
Ag1 Ag 0.0000 0.0000 0.3337
Ag2 Ag 0.0000 0.0000 0.5000
Ag3 Ag 0.0038 0.5019 0.9156
Bi1 Bi 0.0000 0.0000 0.1414
# **Magnetic moment**: 0.0 μB/f.u.
# **Energy relative to the elements**: -0.09 eV per atom

Entry 4:
# Sr3Ag2Bi4 (PBE, optimized geometry)
data_Sr3Ag2Bi4
_chemical_formula_sum 'Sr6 Ag4 Bi8'
_cell_length_a 12.918
_cell_length_b 4.872
_cell_length_c 9.643
_cell_angle_alpha 90.00
_cell_angle_beta 106.33
_cell_angle_gamma 90.00
_space_group_name_H-M_alt 'C 1 2/m 1'
_space_group_IT_number 12
loop_
_space_group_symop_operation_xyz
'x,y,z'
'-x,-y,-z'
'-x,y,-z'
'x,-y,z'
'x+1/2,y+1/2,z'
'-x+1/2,-y+1/2,-z'
'-x+1/2,y+1/2,-z'
'x+1/2,-y+1/2,z'
loop_
_atom_site_label
_atom_site_type_symbol
_atom_site_fract_x
_atom_site_fract_y
_atom_site_fract_z
Sr1 Sr 0.000 0.000 0.000
Sr2 Sr 0.127 0.500 0.695
Ag1 Ag 0.210 0.500 0.397
Bi1 Bi 0.078 0.000 0.378
Bi2 Bi 0.204 0.500 0.086
# **Magnetic moment**: 0.0 μB/f.u.
# **Energy relative to the elements**: -0.54 eV per atom